No. 1
VASP calculation (PBE) on a relaxed structure of FeNiMo.

Values from the calculation:
For the density of states at the Fermi level, the calculation gives 13.71 states/eV per cell. Its excess energy over the best structure of this formula in the dataset is 0.0170 eV per atom. The density comes out at 9.24 g cm⁻³. The value obtained for the volume is 151.3 Å³/cell. The calculation puts the calculated formation energy at 0.0445 eV/atom.

a b c (Å): 8.252 3.611 5.327
angles (deg): 90.00 107.59 90.00
Space group C2/m (No. 12)
One atom of each set of equivalent atoms:
1 Fe 0.174 0.000 0.084
2 Ni 0.170 0.000 0.584
3 Mo 0.004 0.500 0.250

No. 2
VASP calculation (PBE) on a relaxed structure of Nd2YMnN4.

Values from the calculation:
For the density of states at the Fermi level, the calculation gives 12.52 states/eV per cell. The density comes out at 6.65 g cm⁻³. The value obtained for the volume is 487.7 Å³/cell. The value obtained for the formation energy from raw total energies is -7.5 eV per formula unit.

a b c (Å): 3.432 11.829 12.013
angles (deg): 90.00 90.00 90.00
Space group Cmcm (No. 63)
One atom of each set of equivalent atoms:
1 Nd 0.000 0.133 0.043
2 Y 0.000 0.374 0.250
3 Mn 0.000 0.343 0.750
4 N 0.000 0.089 0.250
5 N 0.000 0.228 0.641
6 N 0.000 0.500 0.000

No. 3
VASP calculation (PBE) on a relaxed structure of Ag5SnAu6.

Values from the calculation:
For the density of states at the Fermi level, the calculation gives 5.81 states/eV per cell. Its excess energy over the best structure of this formula in the dataset is 0.0121 eV per atom. The density comes out at 13.84 g cm⁻³. The value obtained for the volume is 441.5 Å³/cell. The calculation puts the calculated formation energy at -0.0300 eV/atom.

a b c (Å): 5.087 8.919 9.891
angles (deg): 90.00 100.31 90.00
Space group C2/m (No. 12)
One atom of each set of equivalent atoms:
1 Ag 0.000 0.000 0.000
2 Ag 0.000 0.167 0.500
3 Ag 0.000 0.334 0.000
4 Sn 0.000 0.500 0.500
5 Au 0.248 0.000 0.755
6 Au 0.248 0.168 0.245

No. 4
VASP calculation (PBE) on a relaxed structure of ReMo2Au2.

Values from the calculation:
For the density of states at the Fermi level, the calculation gives 8.47 states/eV per cell. Its excess energy over the best structure of this formula in the dataset is 0.0792 eV per atom. The density comes out at 13.90 g cm⁻³. The value obtained for the volume is 184.4 Å³/cell. The calculation puts the calculated formation energy at 0.7865 eV/atom.

a b c (Å): 3.656 3.656 13.800
angles (deg): 90.00 90.00 90.00
Space group I4/mmm (No. 139)
One atom of each set of equivalent atoms:
1 Re 0.000 0.000 0.000
2 Mo 0.000 0.000 0.417
3 Au 0.000 0.500 0.250

No. 5
VASP calculation (PBE) on a relaxed structure of LiYHf.

Values from the calculation:
For the density of states at the Fermi level, the calculation gives 5.67 states/eV per cell. Its excess energy over the best structure of this formula in the dataset is 0.0726 eV per atom. The density comes out at 6.19 g cm⁻³. The value obtained for the volume is 147.1 Å³/cell. The calculation puts the calculated formation energy at 0.1714 eV/atom.

a b c (Å): 3.248 4.862 9.314
angles (deg): 90.00 90.00 90.00
Space group Pmm2 (No. 25)
One atom of each set of equivalent atoms:
1 Li 0.000 0.000 0.000
2 Li 0.000 0.500 0.186
3 Y 0.500 0.000 0.322
4 Y 0.500 0.500 0.847
5 Hf 0.000 0.000 0.645
6 Hf 0.500 0.500 0.523

No. 6
VASP calculation (PBE) on a relaxed structure of HfPd6.

Values from the calculation:
For the density of states at the Fermi level, the calculation gives 32.31 states/eV per cell. The density comes out at 8.24 g cm⁻³. The value obtained for the volume is 329.3 Å³/cell. The calculation puts the calculated formation energy at 1.1237 eV/atom.

a b c (Å): 6.906 6.906 6.906
angles (deg): 90.00 90.00 90.00
Space group Im-3m (No. 229)
One atom of each set of equivalent atoms:
1 Hf 0.000 0.000 0.000
2 Pd 0.000 0.250 0.500

No. 7
VASP calculation (PBE) on a relaxed structure of NaYAu.

Values from the calculation:
For the density of states at the Fermi level, the calculation gives 5.36 states/eV per cell. The density comes out at 6.48 g cm⁻³. The value obtained for the volume is 316.4 Å³/cell. The calculation puts the calculated formation energy at -0.4203 eV/atom.

a b c (Å): 6.020 5.851 9.465
angles (deg): 90.00 108.40 90.00
Space group C2/m (No. 12)
One atom of each set of equivalent atoms:
1 Na 0.244 0.000 0.499
2 Y 0.185 0.500 0.870
3 Au 0.151 0.000 0.801

No. 8
VASP calculation (PBE) on a relaxed structure of BPIrC2.

Values from the calculation:
For the density of states at the Fermi level, the calculation gives 3.55 states/eV per cell. Its excess energy over the best structure of this formula in the dataset is 0.2098 eV per atom. The density comes out at 8.24 g cm⁻³. The value obtained for the volume is 104.1 Å³/cell. The calculation puts the calculated formation energy at 0.5533 eV/atom.

a b c (Å): 7.387 2.868 5.104
angles (deg): 90.00 105.76 90.00
Space group Cm (No. 8)
One atom of each set of equivalent atoms:
1 B 0.000 0.000 0.000
2 P 0.412 0.000 0.462
3 Ir 0.174 0.500 0.836
4 C 0.001 0.000 0.314
5 C 0.193 0.000 0.537